NaSbMoPb2 | GGA-PBE | optimized geometry

```
NaSbMoPb2
1.0
5.4759 0.0000 0.0000
0.0000 5.2846 0.0000
0.0000 0.0000 5.4759
Pb Sb Mo Na
2 1 1 1
direct
0.5000 0.0000 0.0000 Pb
0.0000 0.0000 0.5000 Pb
0.0000 0.5000 0.0000 Sb
0.0000 0.0000 0.0000 Mo
0.5000 0.5000 0.5000 Na
```

* crystal system: tetragonal
* formation energy from raw total energies: 0.28 eV per atom

***

NaMoPbSe2 | GGA-PBE | optimized geometry

```
NaMoPbSe2
1.0
5.6076 0.0000 0.0000
0.0000 5.4128 0.0000
0.0000 0.0000 5.6076
Pb Se Mo Na
1 2 1 1
direct
0.0000 0.0000 0.0000 Pb
0.5000 0.0000 0.0000 Se
0.0000 0.0000 0.5000 Se
0.5000 0.5000 0.5000 Mo
0.0000 0.5000 0.0000 Na
```

* crystal system: tetragonal
* formation energy from raw total energies: 1.07 eV per atom

***

NaSnMoPb2 | GGA-PBE | optimized geometry

```
NaSnMoPb2
1.0
-0.9624 -5.2468 -2.1238
2.3805 1.5596 -4.9316
5.1262 -1.7215 1.9300
Na Pb Mo Sn
1 2 1 1
direct
0.0000 0.0000 0.0000 Na
0.5000 0.0000 0.0000 Pb
0.0000 0.0000 0.5000 Pb
0.5000 0.5000 0.5000 Mo
0.0000 0.5000 0.0000 Sn
```

* crystal system: tetragonal
* VASP energy: -16.88 eV/f.u.

***

NaTcMo2Pb | GGA-PBE | optimized geometry

```
NaTcMo2Pb
1.0
-3.1665 -2.2022 -2.9615
-1.7207 -3.3080 4.2997
-3.3850 3.2876 1.1747
Mo Pb Tc Na
2 1 1 1
direct
0.5000 0.0000 0.0000 Mo
0.0000 0.0000 0.5000 Mo
0.5000 0.5000 0.5000 Pb
0.0000 0.0000 0.0000 Tc
0.0000 0.5000 0.0000 Na
```

* crystal system: tetragonal
* VASP energy: -29.99 eV/f.u.

***

NaZrMo2Pb | GGA-PBE | optimized geometry

```
NaZrMo2Pb
1.0
-2.9037 -3.9380 0.3174
3.9877 -2.7304 2.6038
-1.7100 1.6078 4.3048
Zr Na Pb Mo
1 1 1 2
direct
0.0000 0.0000 0.0000 Zr
0.0000 0.5000 0.0000 Na
0.5000 0.5000 0.5000 Pb
0.5000 0.0000 0.0000 Mo
0.0000 0.0000 0.5000 Mo
```

* crystal system: tetragonal
* VASP energy: -27.20 eV/f.u.

***

NaMo3Pd | GGA-PBE | optimized geometry

```
NaMo3Pd
1.0
4.8292 0.0000 0.0000
0.0000 4.8292 0.0000
0.0000 0.0000 4.8292
Mo Pd Na
3 1 1
direct
0.5000 0.0000 0.0000 Mo
0.0000 0.5000 0.0000 Mo
0.0000 0.0000 0.5000 Mo
0.0000 0.0000 0.0000 Pd
0.5000 0.5000 0.5000 Na
```

* E above lowest polymorph: 0.0 meV per atom
* crystal system: cubic

***

Na2MoPd | GGA-PBE | optimized geometry

```
Na2MoPd
1.0
3.4833 -1.7396 -2.9871
1.7647 -4.5306 0.6652
-1.0730 -3.5480 -3.2161
Na Pd Mo
2 1 1
direct
0.2500 0.2500 0.2500 Na
0.7500 0.7500 0.7500 Na
0.5000 0.5000 0.5000 Pd
0.0000 0.0000 0.0000 Mo
```

* E above lowest polymorph: 0.0 meV per atom
* crystal system: cubic

***

Na2MoPd | GGA-PBE | optimized geometry

```
Na2MoPd
1.0
-6.1005 1.7969 -5.4254
-1.1109 -8.1569 -1.4525
-5.4196 -3.2897 -1.4357
Mo Pd Na
2 2 4
direct
0.2500 0.7500 0.5000 Mo
0.5000 0.5000 0.0000 Mo
0.0000 0.0000 0.0000 Pd
0.7500 0.2500 0.5000 Pd
0.8750 0.9156 0.7500 Na
0.3750 0.3344 0.7500 Na
0.0844 0.6250 0.2500 Na
0.6656 0.1250 0.2500 Na
```

* E above lowest polymorph: 53.6 meV per atom
* crystal system: tetragonal

***

NaMo3Pd | GGA-PBE | optimized geometry

```
NaMo3Pd
1.0
-4.0834 1.4529 1.1076
-1.3237 -4.2221 0.6582
1.2591 0.2731 4.2839
Mo Na Pd
3 1 1
direct
0.0000 0.0000 0.5000 Mo
0.5000 0.0000 0.0000 Mo
0.0000 0.5000 0.0000 Mo
0.0000 0.0000 0.0000 Na
0.5000 0.5000 0.5000 Pd
```

* E above lowest polymorph: 529.9 meV per atom
* crystal system: cubic

***

NaSiMo2Pd | GGA-PBE | optimized geometry

```
NaSiMo2Pd
1.0
4.5474 0.0000 0.0000
0.0000 4.8324 0.0000
0.0000 0.0000 4.5474
Mo Si Pd Na
2 1 1 1
direct
0.5000 0.0000 0.0000 Mo
0.0000 0.0000 0.5000 Mo
0.0000 0.0000 0.0000 Si
0.5000 0.5000 0.5000 Pd
0.0000 0.5000 0.0000 Na
```

* crystal system: tetragonal
* formation energy from raw total energies: 1.16 eV per atom

***

Na2VMoPd | GGA-PBE | optimized geometry

```
Na2VMoPd
1.0
-3.2300 -4.3484 0.1418
3.8593 -2.7822 2.5935
-1.5724 1.2894 3.7230
Na Pd Mo V
2 1 1 1
direct
0.0000 0.5000 0.0000 Na
0.5000 0.0000 0.0000 Na
0.5000 0.5000 0.5000 Pd
0.0000 0.0000 0.0000 Mo
0.0000 0.0000 0.5000 V
```

* crystal system: tetragonal
* VASP energy: -20.23 eV/f.u.

***

NaV2MoPd | GGA-PBE | optimized geometry

```
NaV2MoPd
1.0
4.5268 0.0000 0.0000
0.0000 5.1033 0.0000
0.0000 0.0000 4.5268
Mo Pd V Na
1 1 2 1
direct
0.0000 0.0000 0.0000 Mo
0.0000 0.5000 0.0000 Pd
0.0000 0.0000 0.5000 V
0.5000 0.0000 0.0000 V
0.5000 0.5000 0.5000 Na
```

* crystal system: tetragonal
* VASP energy: -30.38 eV/f.u.

***

Record-wise total magnetization values, in μB per atom: 0.0000, 0.9510, 0.9498, 0.4532, 0.5754, 0.3074, 1.1043, 1.0970, 0.0000, 0.2931, 0.0000, 0.0984